1.
An optimized crystal structure of LiCaIr2. Source: the Alexandria database, functional GGA-PBE.

Cell and atoms, written as POSCAR:
```
LiCaIr2
1.0
-2.2109 2.2109 8.8285
2.2109 -2.2109 8.8285
2.2109 2.2109 -8.8285
Li Ca Ir
2 2 4
direct
0.0000 0.0000 0.0000
0.7500 0.2500 0.5000
0.2500 0.7500 0.5000
0.5000 0.5000 0.0000
0.3750 0.0241 0.1491
0.7741 0.6250 0.6491
0.8750 0.2259 0.8509
0.9759 0.1250 0.3509
```

Values from the calculation:
VASP energy ... -5.28 eV/atom
Total magnetization ... 0.00 μB/cell
Formation energy ... 3.00 kcal/mol of atoms
ΔE to the lowest computed polymorph ... 255 meV per atom

2.
An optimized crystal structure of Zr2CdHg. Source: the Alexandria database, functional GGA-PBE.

Cell and atoms, written as POSCAR:
```
Zr2CdHg
1.0
-2.2271 2.2271 4.3519
2.2271 -2.2271 4.3519
2.2271 2.2271 -4.3519
Zr Cd Hg
2 1 1
direct
0.2500 0.7500 0.5000
0.7500 0.2500 0.5000
0.0000 0.0000 0.0000
0.5000 0.5000 0.0000
```

Values from the calculation:
VASP energy ... -4.72 eV/atom
Total magnetization ... 0.00 μB/cell
Formation energy ... -3.29 kcal/mol of atoms
ΔE to the lowest computed polymorph ... 5 meV per atom

3.
An optimized crystal structure of Al2HgPb. Source: the Alexandria database, functional GGA-PBE.

Cell and atoms, written as POSCAR:
```
Al2HgPb
1.0
3.4045 0.0000 0.0000
0.0000 5.1055 0.0000
0.0000 0.0000 5.4148
Al Hg Pb
2 1 1
direct
0.0000 0.0000 0.0000
0.5000 0.0000 0.5000
0.0000 0.5000 0.5000
0.5000 0.5000 0.0000
```

Values from the calculation:
VASP energy ... -2.61 eV/atom
Total magnetization ... 0.00 μB/cell
Formation energy ... 6.18 kcal/mol of atoms
ΔE to the lowest computed polymorph ... 122 meV per atom

4.
An optimized crystal structure of RbNa3Sn. Source: the Alexandria database, functional GGA-PBE.

Cell and atoms, written as POSCAR:
```
RbNa3Sn
1.0
6.0717 0.0000 0.0000
0.0000 6.0717 0.0000
0.0000 0.0000 6.0717
Rb Na Sn
1 3 1
direct
0.0000 0.0000 0.0000
0.0000 0.5000 0.5000
0.5000 0.0000 0.5000
0.5000 0.5000 0.0000
0.5000 0.5000 0.5000
```

Values from the calculation:
VASP energy ... -1.87 eV/atom
Total magnetization ... 0.00 μB/cell
Formation energy ... -1.86 kcal/mol of atoms
ΔE to the lowest computed polymorph ... 11 meV per atom